(1)
Cr2OsPt: relaxed, PBE-GGA.

Output
Total magnetic moment = 0.00 μB/atom
Mass density = 15.06 g/cm3
Electronic total energy = -9.053 eV/atom
Energy of formation from the pure elements = 0.076 eV/atom

abc: 2.683 2.683 7.496
angles: 90.00 90.00 90.00
Space group P4mm (No. 99)
Unique sites:
Cr: 0.000 0.000 0.000
Cr: 0.500 0.500 0.238
Os: 0.000 0.000 0.463
Pt: 0.500 0.500 0.751



(2)
Cr2OsPt: relaxed, PBE-GGA.

Output
Total magnetic moment = 0.03 μB/atom
Mass density = 14.68 g/cm3
Electronic total energy = -9.080 eV/atom
Energy of formation from the pure elements = 0.049 eV/atom

abc: 4.619 2.720 4.681
angles: 90.00 109.72 90.00
Space group P2/m (No. 10)
Unique sites:
Cr: 0.000 0.000 0.000
Cr: 0.000 0.500 0.500
Os: 0.500 0.000 0.500
Pt: 0.500 0.500 0.000



(3)
Cr2OsPt: relaxed, PBE-GGA.

Output
Total magnetic moment = 0.00 μB/atom
Mass density = 15.22 g/cm3
Electronic total energy = -9.185 eV/atom
Energy of formation from the pure elements = -0.055 eV/atom

abc: 3.808 3.808 7.362
angles: 90.00 90.00 90.00
Space group I4/mmm (No. 139)
Unique sites:
Cr: 0.000 0.500 0.250
Os: 0.000 0.000 0.000
Pt: 0.000 0.000 0.500



(4)
CrOsPt3: relaxed, PBE-GGA.

Output
Total magnetic moment = 0.00 μB/atom
Mass density = 15.20 g/cm3
Electronic total energy = -6.231 eV/atom
Energy of formation from the pure elements = 1.564 eV/atom

abc: 4.488 4.488 4.488
angles: 90.00 90.00 90.00
Space group Pm-3m (No. 221)
Unique sites:
Cr: 0.000 0.000 0.000
Os: 0.500 0.500 0.500
Pt: 0.000 0.000 0.500



(5)
Cr2OsPt: relaxed, PBE-GGA.

Output
Total magnetic moment = 0.00 μB/atom
Mass density = 15.20 g/cm3
Electronic total energy = -9.120 eV/atom
Energy of formation from the pure elements = 0.010 eV/atom

abc: 4.034 2.697 9.825
angles: 90.00 90.00 90.00
Space group Amm2 (No. 38)
Unique sites:
Cr: 0.000 0.000 0.000
Cr: 0.500 0.000 0.121
Os: 0.000 0.000 0.725
Pt: 0.500 0.000 0.385



(6)
CrOsPt2Rh: relaxed, PBE-GGA.

Output
Total magnetic moment = 0.40 μB/atom
Mass density = 12.61 g/cm3
Electronic total energy = -6.132 eV/atom
Energy of formation from the pure elements = 1.925 eV/atom

abc: 4.810 4.810 4.187
angles: 90.00 90.00 90.00
Space group P4/mmm (No. 123)
Unique sites:
Cr: 0.000 0.000 0.000
Os: 0.500 0.500 0.000
Pt: 0.000 0.500 0.500
Rh: 0.000 0.000 0.500



(7)
CrOsPtRh2: relaxed, PBE-GGA.

Output
Total magnetic moment = 0.59 μB/atom
Mass density = 10.84 g/cm3
Electronic total energy = -6.929 eV/atom
Energy of formation from the pure elements = 1.391 eV/atom

abc: 4.654 4.654 4.550
angles: 90.00 90.00 90.00
Space group P4/mmm (No. 123)
Unique sites:
Cr: 0.000 0.000 0.000
Os: 0.000 0.000 0.500
Pt: 0.500 0.500 0.000
Rh: 0.000 0.500 0.500



(8)
VCrOsPt2: relaxed, PBE-GGA.

Output
Total magnetic moment = 0.49 μB/atom
Mass density = 10.84 g/cm3
Electronic total energy = -6.918 eV/atom
Energy of formation from the pure elements = 1.492 eV/atom

abc: 4.874 4.874 4.405
angles: 90.00 90.00 90.00
Space group P4/mmm (No. 123)
Unique sites:
V: 0.000 0.000 0.000
Cr: 0.500 0.500 0.000
Os: 0.500 0.500 0.500
Pt: 0.000 0.500 0.500



(9)
Cr2OsPtW: relaxed, PBE-GGA.

Output
Total magnetic moment = 0.00 μB/atom
Mass density = 12.06 g/cm3
Electronic total energy = -7.743 eV/atom
Energy of formation from the pure elements = 2.152 eV/atom

abc: 4.414 4.414 4.756
angles: 90.00 90.00 90.00
Space group P4/mmm (No. 123)
Unique sites:
Cr: 0.000 0.500 0.000
Os: 0.000 0.000 0.500
Pt: 0.500 0.500 0.000
W: 0.500 0.500 0.500



(10)
TmPuCrOs: relaxed, PBE-GGA.

Output
Total magnetic moment = 0.41 μB/atom
Mass density = 13.96 g/cm3
Electronic total energy = -9.872 eV/atom
Energy of formation from the pure elements = 0.042 eV/atom

abc: 6.781 6.781 6.781
angles: 90.00 90.00 90.00
Space group F-43m (No. 216)
Unique sites:
Tm: 0.000 0.000 0.000
Pu: 0.000 0.000 0.500
Cr: 0.250 0.250 0.250
Os: 0.250 0.250 0.750



(11)
PuUCrOs: relaxed, PBE-GGA.

Output
Total magnetic moment = 0.31 μB/atom
Mass density = 17.63 g/cm3
Electronic total energy = -11.551 eV/atom
Energy of formation from the pure elements = 0.068 eV/atom

abc: 6.486 6.486 6.486
angles: 90.00 90.00 90.00
Space group F-43m (No. 216)
Unique sites:
Pu: 0.000 0.000 0.000
U: 0.250 0.250 0.750
Cr: 0.000 0.000 0.500
Os: 0.250 0.250 0.250



(12)
Rb3CrOs: relaxed, PBE-GGA.

Output
Total magnetic moment = 0.60 μB/atom
Mass density = 3.04 g/cm3
Electronic total energy = -3.105 eV/atom
Energy of formation from the pure elements = 1.646 eV/atom

abc: 6.479 6.479 6.479
angles: 90.00 90.00 90.00
Space group Pm-3m (No. 221)
Unique sites:
Rb: 0.000 0.000 0.500
Cr: 0.500 0.500 0.500
Os: 0.000 0.000 0.000